1.
First-principles (PBE) data for crystalline YSc2Zn at its relaxed geometry, as listed in Alexandria.

Formation energy (eV/atom): -0.150
Uncorrected energy (eV per cell): -21.00
Total moment (μB/atom): 0.00
DOS(E_F) (states/eV per atom): 1.3058
SG: No. 123

Geometry as POSCAR:
```
YSc2Zn
1.0
3.3734 0.0000 0.0000
0.0000 3.3734 0.0000
0.0000 0.0000 8.3271
Y Sc Zn
1 2 1
Direct
0.0000 0.0000 0.0000 Y
0.5000 0.5000 0.3009 Sc
0.5000 0.5000 0.6991 Sc
0.0000 0.0000 0.5000 Zn
```



2.
First-principles (PBE) data for crystalline Ti5Zn6Au at its relaxed geometry, as listed in Alexandria.

Formation energy (eV/atom): -0.185
Uncorrected energy (eV per cell): -52.62
Total moment (μB/atom): 0.08
DOS(E_F) (states/eV per atom): 0.8633
SG: No. 71

Geometry as POSCAR:
```
Ti5Zn6Au
1.0
-1.9890 3.8714 6.1056
1.9890 -3.8714 6.1056
1.9890 3.8714 -6.1056
Ti Zn Au
5 6 1
Direct
0.0000 0.0000 0.0000 Ti
0.1601 0.6602 0.5000 Ti
0.3237 0.3237 0.0000 Ti
0.6763 0.6763 0.0000 Ti
0.8398 0.3398 0.5000 Ti
0.0863 0.8324 0.2538 Zn
0.2558 0.5000 0.7558 Zn
0.4214 0.1676 0.2538 Zn
0.5786 0.8324 0.7462 Zn
0.7442 0.5000 0.2442 Zn
0.9137 0.1676 0.7462 Zn
0.5000 0.0000 0.5000 Au
```



3.
First-principles (PBE) data for crystalline RbAg4Sb4 at its relaxed geometry, as listed in Alexandria.

Formation energy without anion corrections (eV/atom): -0.0034
Uncorrected energy (eV per cell): -57.79
Total moment (μB/atom): 0.00
DOS(E_F) (states/eV per atom): 0.4004
SG: No. 86

Geometry as POSCAR:
```
RbAg4Sb4
1.0
9.4605 0.0000 0.0000
0.0000 9.4605 0.0000
0.0000 0.0000 5.7805
Rb Ag Sb
2 8 8
Direct
0.2500 0.2500 0.2500 Rb
0.7500 0.7500 0.7500 Rb
0.0592 0.8904 0.1394 Ag
0.1096 0.5592 0.6394 Ag
0.3904 0.9408 0.6394 Ag
0.4408 0.6096 0.1394 Ag
0.5592 0.3904 0.8606 Ag
0.6096 0.0592 0.3606 Ag
0.8904 0.4408 0.3606 Ag
0.9408 0.1096 0.8606 Ag
0.0990 0.8903 0.6342 Sb
0.1097 0.5990 0.1342 Sb
0.3903 0.9010 0.1342 Sb
0.4010 0.6097 0.6342 Sb
0.5990 0.3903 0.3658 Sb
0.6097 0.0990 0.8658 Sb
0.8903 0.4010 0.8658 Sb
0.9010 0.1097 0.3658 Sb
```



4.
First-principles (PBE) data for crystalline CeHoAlAu at its relaxed geometry, as listed in Alexandria.

Formation energy (eV/atom): -0.443
Uncorrected energy (eV per cell): -77.21
Total moment (μB/atom): 0.24
DOS(E_F) (states/eV per atom): 2.4250
SG: No. 216

Geometry as POSCAR:
```
CeHoAlAu
1.0
7.3334 0.0000 0.0000
0.0000 7.3334 0.0000
0.0000 0.0000 7.3334
Ce Ho Al Au
4 4 4 4
Direct
0.0000 0.0000 0.0000 Ce
0.0000 0.5000 0.5000 Ce
0.5000 0.0000 0.5000 Ce
0.5000 0.5000 0.0000 Ce
0.0000 0.0000 0.5000 Ho
0.0000 0.5000 0.0000 Ho
0.5000 0.0000 0.0000 Ho
0.5000 0.5000 0.5000 Ho
0.2500 0.2500 0.2500 Al
0.2500 0.7500 0.7500 Al
0.7500 0.2500 0.7500 Al
0.7500 0.7500 0.2500 Al
0.2500 0.2500 0.7500 Au
0.2500 0.7500 0.2500 Au
0.7500 0.2500 0.2500 Au
0.7500 0.7500 0.7500 Au
```



5.
First-principles (PBE) data for crystalline Si2Te8Pd at its relaxed geometry, as listed in Alexandria.

Formation energy without anion corrections (eV/atom): 0.0055
Uncorrected energy (eV per cell): -41.11
Total moment (μB/atom): 0.00
DOS(E_F) (states/eV per atom): 0.3864
SG: No. 12

Geometry as POSCAR:
```
Si2Te8Pd
1.0
6.6703 -4.3424 0.0000
6.6703 4.3424 0.0000
-1.4263 0.0000 5.9076
Si Te Pd
2 8 1
Direct
0.1859 0.1859 0.1258 Si
0.8141 0.8141 0.8742 Si
0.1497 0.7184 0.7664 Te
0.2024 0.2024 0.7269 Te
0.2816 0.8503 0.2336 Te
0.3737 0.3737 0.3110 Te
0.6263 0.6263 0.6890 Te
0.7184 0.1497 0.7664 Te
0.7976 0.7976 0.2731 Te
0.8503 0.2816 0.2336 Te
0.0000 0.0000 0.5000 Pd
```



6.
First-principles (PBE) data for crystalline Dy4InRh at its relaxed geometry, as listed in Alexandria.

Formation energy (eV/atom): -0.558
Uncorrected energy (eV per cell): -127.39
Total moment (μB/atom): 0.00
DOS(E_F) (states/eV per atom): 0.6511
SG: No. 216

Geometry as POSCAR:
```
Dy4InRh
1.0
0.0000 6.8233 6.8233
6.8233 0.0000 6.8233
6.8233 6.8233 0.0000
Dy In Rh
16 4 4
Direct
0.0595 0.0595 0.4405 Dy
0.0595 0.4405 0.0595 Dy
0.0595 0.4405 0.4405 Dy
0.1879 0.1879 0.8121 Dy
0.1879 0.8121 0.1879 Dy
0.1879 0.8121 0.8121 Dy
0.2011 0.5996 0.5996 Dy
0.4405 0.0595 0.0595 Dy
0.4405 0.0595 0.4405 Dy
0.4405 0.4405 0.0595 Dy
0.5996 0.2011 0.5996 Dy
0.5996 0.5996 0.2011 Dy
0.5996 0.5996 0.5996 Dy
0.8121 0.1879 0.1879 Dy
0.8121 0.1879 0.8121 Dy
0.8121 0.8121 0.1879 Dy
0.5013 0.8329 0.8329 In
0.8329 0.5013 0.8329 In
0.8329 0.8329 0.5013 In
0.8329 0.8329 0.8329 In
0.3920 0.3920 0.3920 Rh
0.3920 0.3920 0.8239 Rh
0.3920 0.8239 0.3920 Rh
0.8239 0.3920 0.3920 Rh
```



7.
First-principles (PBE) data for crystalline Np5ScAs6 at its relaxed geometry, as listed in Alexandria.

Formation energy (eV/atom): -0.751
Uncorrected energy (eV per cell): -107.94
Total moment (μB/atom): 0.32
DOS(E_F) (states/eV per atom): 4.1753
SG: No. 12

Geometry as POSCAR:
```
Np5ScAs6
1.0
3.5132 -6.0814 0.0000
3.5132 6.0814 0.0000
-2.3424 0.0000 6.6858
Np Sc As
5 1 6
Direct
0.0000 0.0000 0.0000 Np
0.1656 0.8344 0.5000 Np
0.3311 0.6689 0.0000 Np
0.6689 0.3311 0.0000 Np
0.8344 0.1656 0.5000 Np
0.5000 0.5000 0.5000 Sc
0.0921 0.4192 0.2563 As
0.2564 0.2564 0.7481 As
0.4192 0.0921 0.2563 As
0.5808 0.9079 0.7437 As
0.7436 0.7436 0.2519 As
0.9079 0.5808 0.7437 As
```



8.
First-principles (PBE) data for crystalline CsZn2SnI at its relaxed geometry, as listed in Alexandria.

Formation energy without anion corrections (eV/atom): 0.5526
Uncorrected energy (eV per cell): -6.19
Total moment (μB/atom): 0.40
DOS(E_F) (states/eV per atom): 2.1188
SG: No. 123

Geometry as POSCAR:
```
CsZn2SnI
1.0
7.2342 0.0000 0.0000
0.0000 7.2342 0.0000
0.0000 0.0000 7.0846
Cs Zn Sn I
1 2 1 1
Direct
0.0000 0.0000 0.0000 Cs
0.0000 0.5000 0.0000 Zn
0.5000 0.0000 0.0000 Zn
0.5000 0.5000 0.5000 Sn
0.0000 0.0000 0.5000 I
```



9.
First-principles (PBE) data for crystalline MnPbI2N at its relaxed geometry, as listed in Alexandria.

Formation energy without anion corrections (eV/atom): 1.0224
Uncorrected energy (eV per cell): -19.19
Total moment (μB/atom): 1.25
DOS(E_F) (states/eV per atom): 1.3830
SG: No. 123

Geometry as POSCAR:
```
MnPbI2N
1.0
6.3422 0.0000 0.0000
0.0000 6.3422 0.0000
0.0000 0.0000 4.2205
Mn Pb I N
1 1 2 1
Direct
0.0000 0.0000 0.0000 Mn
0.5000 0.5000 0.5000 Pb
0.0000 0.5000 0.5000 I
0.5000 0.0000 0.5000 I
0.5000 0.5000 0.0000 N
```



10.
First-principles (PBE) data for crystalline TbSn3 at its relaxed geometry, as listed in Alexandria.

Formation energy (eV/atom): -0.390
Uncorrected energy (eV per cell): -72.79
Total moment (μB/atom): 0.00
DOS(E_F) (states/eV per atom): 0.3403
SG: No. 38

Geometry as POSCAR:
```
TbSn3
1.0
4.4243 0.0000 0.0000
0.0000 4.4334 0.0000
0.0000 0.0000 22.2658
Tb Sn
4 12
Direct
0.0000 0.0000 0.0000 Tb
0.0000 0.5000 0.5000 Tb
0.5000 0.0000 0.2713 Tb
0.5000 0.5000 0.7713 Tb
0.0000 0.0000 0.3836 Sn
0.0000 0.0000 0.6160 Sn
0.0000 0.0000 0.7507 Sn
0.0000 0.5000 0.1160 Sn
0.0000 0.5000 0.2507 Sn
0.0000 0.5000 0.8836 Sn
0.5000 0.0000 0.1216 Sn
0.5000 0.0000 0.5075 Sn
0.5000 0.0000 0.8843 Sn
0.5000 0.5000 0.0075 Sn
0.5000 0.5000 0.3843 Sn
0.5000 0.5000 0.6216 Sn
```



11.
First-principles (PBE) data for crystalline AgTeAsO6 at its relaxed geometry, as listed in Alexandria.

Formation energy without anion corrections (eV/atom): -0.8851
Uncorrected energy (eV per cell): -96.72
Total moment (μB/atom): 0.00
DOS(E_F) (states/eV per atom): 0.0909
SG: No. 163

Geometry as POSCAR:
```
AgTeAsO6
1.0
5.1004 0.0000 0.0000
-2.5502 4.4171 0.0000
0.0000 0.0000 10.7751
Ag Te As O
2 2 2 12
Direct
0.0000 0.0000 0.0000 Ag
0.0000 0.0000 0.5000 Ag
0.3333 0.6667 0.2500 Te
0.6667 0.3333 0.7500 Te
0.3333 0.6667 0.7500 As
0.6667 0.3333 0.2500 As
0.0128 0.3847 0.6499 O
0.0128 0.6281 0.8501 O
0.3719 0.3847 0.8501 O
0.3719 0.9872 0.6499 O
0.3847 0.0128 0.1499 O
0.3847 0.3719 0.3501 O
0.6153 0.6281 0.6499 O
0.6153 0.9872 0.8501 O
0.6281 0.0128 0.3501 O
0.6281 0.6153 0.1499 O
0.9872 0.3719 0.1499 O
0.9872 0.6153 0.3501 O
```



12.
First-principles (PBE) data for crystalline InBIO2 at its relaxed geometry, as listed in Alexandria.

Formation energy without anion corrections (eV/atom): 0.4446
Uncorrected energy (eV per cell): -18.66
Total moment (μB/atom): 0.04
DOS(E_F) (states/eV per atom): 0.2283
SG: No. 123

Geometry as POSCAR:
```
InBIO2
1.0
3.9354 0.0000 0.0000
0.0000 3.9354 0.0000
0.0000 0.0000 4.6580
In B I O
1 1 1 2
Direct
0.0000 0.0000 0.0000 In
0.5000 0.5000 0.5000 B
0.5000 0.5000 0.0000 I
0.0000 0.5000 0.5000 O
0.5000 0.0000 0.5000 O
```



13.
First-principles (PBE) data for crystalline Zr2FeW at its relaxed geometry, as listed in Alexandria.

Formation energy (eV/atom): 0.327
Uncorrected energy (eV per cell): -111.61
Total moment (μB/atom): 0.38
DOS(E_F) (states/eV per atom): 1.2256
SG: No. 160

Geometry as POSCAR:
```
Zr2FeW
1.0
3.0385 0.0000 0.0000
-1.5192 2.6314 0.0000
0.0000 0.0000 27.6012
Zr Fe W
6 3 3
Direct
0.0000 0.0000 0.0000 Zr
0.0000 0.0000 0.2341 Zr
0.3333 0.6667 0.6667 Zr
0.3333 0.6667 0.9008 Zr
0.6667 0.3333 0.3333 Zr
0.6667 0.3333 0.5674 Zr
0.0000 0.0000 0.4867 Fe
0.3333 0.6667 0.1534 Fe
0.6667 0.3333 0.8200 Fe
0.0000 0.0000 0.7546 W
0.3333 0.6667 0.4212 W
0.6667 0.3333 0.0879 W
```



14.
First-principles (PBE) data for crystalline Tb5Nd2Sm2 at its relaxed geometry, as listed in Alexandria.

Formation energy (eV/atom): 0.202
Uncorrected energy (eV per cell): -80.61
Total moment (μB/atom): 0.00
DOS(E_F) (states/eV per atom): 1.6031
SG: No. 46

Geometry as POSCAR:
```
Tb5Nd2Sm2
1.0
-7.5076 5.9615 3.3901
7.5076 -5.9615 3.3901
7.5076 5.9615 -3.3901
Tb Nd Sm
10 4 4
Direct
0.0402 0.0479 0.4923 Tb
0.0835 0.4605 0.9087 Tb
0.0835 0.6748 0.1230 Tb
0.2461 0.0527 0.2988 Tb
0.2461 0.4473 0.6934 Tb
0.5518 0.1748 0.0913 Tb
0.5518 0.9605 0.8770 Tb
0.5556 0.5479 0.5077 Tb
0.7539 0.5527 0.3066 Tb
0.7539 0.9473 0.7012 Tb
0.6473 0.2743 0.6261 Nd
0.6473 0.5213 0.8731 Nd
0.6482 0.0213 0.3739 Nd
0.6482 0.7743 0.1269 Nd
0.0948 0.3534 0.2414 Sm
0.1120 0.8534 0.7586 Sm
0.1881 0.1881 0.0000 Sm
0.1881 0.6881 0.5000 Sm
```



15.
First-principles (PBE) data for crystalline Zr5Bi6 at its relaxed geometry, as listed in Alexandria.

Formation energy (eV/atom): -0.230
Uncorrected energy (eV per cell): -68.56
Total moment (μB/atom): 0.00
DOS(E_F) (states/eV per atom): 0.5427
SG: No. 12

Geometry as POSCAR:
```
Zr5Bi6
1.0
3.6469 -6.2520 0.0000
3.6469 6.2520 0.0000
-2.4111 0.0000 6.8127
Zr Bi
5 6
Direct
0.0000 0.0000 0.0000 Zr
0.1631 0.8369 0.5000 Zr
0.3209 0.6791 0.0000 Zr
0.6791 0.3209 0.0000 Zr
0.8369 0.1631 0.5000 Zr
0.1175 0.4249 0.2685 Bi
0.2715 0.2715 0.7466 Bi
0.4249 0.1175 0.2685 Bi
0.5751 0.8825 0.7315 Bi
0.7285 0.7285 0.2534 Bi
0.8825 0.5751 0.7315 Bi
```



16.
First-principles (PBE) data for crystalline LiTmMgSi at its relaxed geometry, as listed in Alexandria.

Formation energy without anion corrections (eV/atom): -0.2125
Uncorrected energy (eV per cell): -57.01
Total moment (μB/atom): 0.00
DOS(E_F) (states/eV per atom): 0.4065
SG: No. 216

Geometry as POSCAR:
```
LiTmMgSi
1.0
6.7234 0.0000 0.0000
0.0000 6.7234 0.0000
0.0000 0.0000 6.7234
Li Tm Mg Si
4 4 4 4
Direct
0.0000 0.0000 0.0000 Li
0.0000 0.5000 0.5000 Li
0.5000 0.0000 0.5000 Li
0.5000 0.5000 0.0000 Li
0.2500 0.2500 0.7500 Tm
0.2500 0.7500 0.2500 Tm
0.7500 0.2500 0.2500 Tm
0.7500 0.7500 0.7500 Tm
0.2500 0.2500 0.2500 Mg
0.2500 0.7500 0.7500 Mg
0.7500 0.2500 0.7500 Mg
0.7500 0.7500 0.2500 Mg
0.0000 0.0000 0.5000 Si
0.0000 0.5000 0.0000 Si
0.5000 0.0000 0.0000 Si
0.5000 0.5000 0.5000 Si
```



17.
First-principles (PBE) data for crystalline Ba2LiTl6Pd at its relaxed geometry, as listed in Alexandria.

Formation energy (eV/atom): -0.248
Uncorrected energy (eV per cell): -27.63
Total moment (μB/atom): 0.00
DOS(E_F) (states/eV per atom): 0.5573
SG: No. 2

Geometry as POSCAR:
```
Ba2LiTl6Pd
1.0
7.5862 0.0000 0.0000
-3.7826 6.5857 0.0000
-3.7878 -2.1987 6.2335
Ba Li Tl Pd
2 1 6 1
Direct
0.0013 0.2085 0.2930 Ba
0.9987 0.7915 0.7070 Ba
0.5000 0.5000 0.0000 Li
0.0072 0.2893 0.7895 Tl
0.4363 0.7148 0.2134 Tl
0.4999 0.2546 0.2440 Tl
0.5001 0.7454 0.7560 Tl
0.5637 0.2852 0.7866 Tl
0.9928 0.7107 0.2105 Tl
0.5000 0.0000 0.5000 Pd
```



18.
First-principles (PBE) data for crystalline Li3Tb3AlSe8 at its relaxed geometry, as listed in Alexandria.

Formation energy without anion corrections (eV/atom): -1.4215
Uncorrected energy (eV per cell): -72.57
Total moment (μB/atom): 0.00
DOS(E_F) (states/eV per atom): 0.5455
SG: No. 166

Geometry as POSCAR:
```
Li3Tb3AlSe8
1.0
4.0309 2.3272 6.4128
-4.0309 2.3272 6.4128
0.0000 -4.6545 6.4128
Li Tb Al Se
3 3 1 8
Direct
0.0000 0.5000 0.5000 Li
0.5000 0.0000 0.5000 Li
0.5000 0.5000 0.0000 Li
0.0000 0.0000 0.5000 Tb
0.0000 0.5000 0.0000 Tb
0.5000 0.0000 0.0000 Tb
0.5000 0.5000 0.5000 Al
0.2527 0.2527 0.2527 Se
0.2670 0.2670 0.7260 Se
0.2670 0.7260 0.2670 Se
0.2740 0.7330 0.7330 Se
0.7260 0.2670 0.2670 Se
0.7330 0.2740 0.7330 Se
0.7330 0.7330 0.2740 Se
0.7473 0.7473 0.7473 Se
```



19.
First-principles (PBE) data for crystalline La3Tb3Pr8 at its relaxed geometry, as listed in Alexandria.

Formation energy (eV/atom): 0.111
Uncorrected energy (eV per cell): -65.36
Total moment (μB/atom): 0.00
DOS(E_F) (states/eV per atom): 1.3207
SG: No. 71

Geometry as POSCAR:
```
La3Tb3Pr8
1.0
-2.8973 5.5141 7.8438
2.8973 -5.5141 7.8438
2.8973 5.5141 -7.8438
La Tb Pr
3 3 8
Direct
0.0000 0.0000 0.0000 La
0.3094 0.0000 0.3094 La
0.6906 0.0000 0.6906 La
0.3152 0.8152 0.5000 Tb
0.5000 0.5000 0.0000 Tb
0.6848 0.1848 0.5000 Tb
0.0596 0.3960 0.6636 Pr
0.0678 0.2252 0.8426 Pr
0.2676 0.6040 0.6636 Pr
0.3826 0.2252 0.1574 Pr
0.6174 0.7748 0.8426 Pr
0.7324 0.3960 0.3364 Pr
0.9322 0.7748 0.1574 Pr
0.9404 0.6040 0.3364 Pr
```



20.
First-principles (PBE) data for crystalline CaTmIn4 at its relaxed geometry, as listed in Alexandria.

Formation energy (eV/atom): -0.268
Uncorrected energy (eV per cell): -19.04
Total moment (μB/atom): 0.00
DOS(E_F) (states/eV per atom): 0.7565
SG: No. 216

Geometry as POSCAR:
```
CaTmIn4
1.0
0.0000 4.2774 4.2774
4.2774 0.0000 4.2774
4.2774 4.2774 0.0000
Ca Tm In
1 1 4
Direct
0.0000 0.0000 0.0000 Ca
0.7500 0.7500 0.7500 Tm
0.3752 0.3752 0.3752 In
0.3752 0.3752 0.8743 In
0.3752 0.8743 0.3752 In
0.8743 0.3752 0.3752 In
```